Entry 1:
Here is a geometry-optimized La2Fe2Ag structure from the Alexandria database. Energies are from PBE.

The structure belongs to space group I4/mmm (No. 139); the cell edges are 5.4953, 5.4953 and 7.6888 Å and the angles 90.00°, 90.00° and 90.00°. The asymmetric unit holds La at (0.0000, 0.5000, 0.2500), Fe at (0.0000, 0.0000, 0.1471) and Ag at (0.0000, 0.0000, 0.5000).

As for the offset from the most stable computed form: 217 meV/atom. As for the total magnetic moment: 3.47 μB per formula unit. The calculation puts the calculated density at 7.11 Mg/m³. The calculation puts the energy relative to the elements at 0.291 eV/atom. The total energy comes out at -5.635 eV/atom.

***

Entry 2:
Here is a geometry-optimized PmPrPaAl structure from the Alexandria database. Energies are from PBE.

The structure belongs to space group F-43m (No. 216); the cell edges are 7.5911, 7.5911 and 7.5911 Å and the angles 90.00°, 90.00° and 90.00°. The asymmetric unit holds Pm at (0.0000, 0.0000, 0.0000), Pr at (0.0000, 0.0000, 0.5000), Pa at (0.2500, 0.2500, 0.7500) and Al at (0.2500, 0.2500, 0.2500).

As for the total magnetic moment: 0.00 μB per formula unit. The calculation puts the calculated density at 8.26 Mg/m³. The calculation puts the energy relative to the elements at 0.210 eV/atom. The total energy comes out at -5.482 eV/atom.

***

Entry 3:
Here is a geometry-optimized Li2PuTiO6 structure from the Alexandria database. Energies are from PBE.

The structure belongs to space group P4mm (No. 99); the cell edges are 5.6846, 5.6846 and 4.1521 Å and the angles 90.00°, 90.00° and 90.00°. The asymmetric unit holds Li at (0.0000, 0.5000, 0.0000), Pu at (0.0000, 0.0000, 0.8072), Ti at (0.5000, 0.5000, 0.7444), O at (0.0000, 0.0000, 0.3107), O at (0.2540, 0.2540, 0.8390) and O at (0.5000, 0.5000, 0.3336).

As for the total magnetic moment: 2.00 μB per formula unit. The value obtained for the formation energy without anion corrections is -2366 kJ/mol of formula units. The calculation puts the calculated density at 4.97 Mg/m³. The total energy comes out at -8.032 eV/atom.

***

Entry 4:
Here is a geometry-optimized KNbTe2C structure from the Alexandria database. Energies are from PBE.

The structure belongs to space group P4/mmm (No. 123); the cell edges are 5.6889, 5.6889 and 4.1473 Å and the angles 90.00°, 90.00° and 90.00°. The asymmetric unit holds K at (0.0000, 0.0000, 0.0000), Nb at (0.5000, 0.5000, 0.5000), Te at (0.0000, 0.5000, 0.5000) and C at (0.5000, 0.5000, 0.0000).

As for the total magnetic moment: 0.00 μB per formula unit. The value obtained for the formation energy without anion corrections is 119 kJ/mol of formula units. The calculation puts the calculated density at 4.94 Mg/m³. The total energy comes out at -5.089 eV/atom.

***

Entry 5:
Here is a geometry-optimized ScBeSiOs structure from the Alexandria database. Energies are from PBE.

The structure belongs to space group R3m (No. 160, hexagonal axes); the cell edges are 3.9575, 3.9575 and 13.4034 Å and the angles 90.00°, 90.00° and 120.00°. The asymmetric unit holds Sc at (0.0000, 0.0000, 0.0000), Be at (0.0000, 0.0000, 0.7909), Si at (0.0000, 0.0000, 0.2092) and Os at (0.0000, 0.0000, 0.4929).

As for the total magnetic moment: 0.00 μB per formula unit. The value obtained for the formation energy without anion corrections is -170 kJ/mol of formula units. The calculation puts the calculated density at 7.46 Mg/m³. The total energy comes out at -7.119 eV/atom.

***

Entry 6:
Here is a geometry-optimized Pr6SbPb2Se3 structure from the Alexandria database. Energies are from PBE.

The structure belongs to space group C2/m (No. 12); the cell edges are 19.3288, 4.4521 and 8.8721 Å and the angles 90.00°, 102.87° and 90.00°. The asymmetric unit holds Pr at (0.0017, 0.0000, 0.2457), Pr at (0.1637, 0.5000, 0.0895), Pr at (0.1685, 0.5000, 0.5770), Sb at (0.0000, 0.5000, 0.5000), Pb at (0.1668, 0.0000, 0.8330), Se at (0.0000, 0.5000, 0.0000) and Se at (0.1660, 0.0000, 0.3334).

As for the total magnetic moment: 0.00 μB per formula unit. The value obtained for the formation energy without anion corrections is -1510 kJ/mol of formula units. The calculation puts the calculated density at 7.22 Mg/m³. The total energy comes out at -5.527 eV/atom.